[1]
GGA-PBE HoTm2UAs4, optimized geometry; total DFT energy (no corrections) = -53.9 eV/cell; formation energy from the elements = -1.310 eV per atom; crystal system = monoclinic
1.0
7.054 0.000 0.000
0.000 4.062 0.000
-2.323 0.000 6.664
Ho Tm U As
1 2 1 4
Direct
0.000 0.000 0.000
0.500 0.000 0.500
0.500 0.500 0.000
0.000 0.500 0.500
0.250 0.500 0.253
0.252 0.000 0.750
0.748 0.000 0.250
0.750 0.500 0.747

=====

[2]
GGA-PBE La4Au2C, optimized geometry; total DFT energy (no corrections) = -38.5 eV/cell; formation energy from the elements = -0.432 eV per atom; crystal system = tetragonal
1.0
-2.597 2.597 7.499
2.597 -2.597 7.499
2.597 2.597 -7.499
La Au C
4 2 1
Direct
0.000 0.500 0.500
0.173 0.173 0.000
0.500 0.000 0.500
0.827 0.827 0.000
0.372 0.372 0.000
0.628 0.628 0.000
0.000 0.000 0.000

=====

[3]
GGA-PBE Pa2BePN5, optimized geometry; total DFT energy (no corrections) = -156.7 eV/cell; raw formation energy = -954 meV/atom; crystal system = orthorhombic
1.0
1.566 -6.897 0.000
1.566 6.897 0.000
0.000 0.000 9.725
Pa Be P N
4 2 2 10
Direct
0.128 0.872 0.500
0.131 0.869 0.864
0.869 0.131 0.364
0.872 0.128 0.000
0.224 0.776 0.162
0.776 0.224 0.662
0.439 0.561 0.637
0.561 0.439 0.137
0.032 0.968 0.217
0.291 0.709 0.885
0.322 0.678 0.601
0.343 0.657 0.186
0.491 0.509 0.483
0.509 0.491 0.983
0.657 0.343 0.686
0.678 0.322 0.101
0.709 0.291 0.385
0.968 0.032 0.717

=====

[4]
GGA-PBE Sm2AgC, optimized geometry; total DFT energy (no corrections) = -22.1 eV/cell; formation energy from the elements = -0.155 eV per atom; energy relative to the lowest polymorph listed for this composition = 15.7 meV per atom; crystal system = trigonal
1.0
1.855 1.071 7.644
-1.855 1.071 7.644
0.000 -2.142 7.644
Sm Ag C
2 1 1
Direct
0.227 0.227 0.227
0.773 0.773 0.773
0.000 0.000 0.000
0.500 0.500 0.500

=====

[5]
GGA-PBE USiPt, optimized geometry; total DFT energy (no corrections) = -49.6 eV/cell; raw formation energy = -677 meV/atom; crystal system = monoclinic
1.0
5.021 -2.157 0.000
5.021 2.157 0.000
-4.476 0.000 5.166
U Si Pt
2 2 2
Direct
0.052 0.052 0.320
0.948 0.948 0.680
0.348 0.348 0.910
0.652 0.652 0.090
0.320 0.320 0.274
0.680 0.680 0.726

=====

[6]
GGA-PBE As2ICl, optimized geometry; total DFT energy (no corrections) = -21.2 eV/cell; raw formation energy = 524 meV/atom; energy relative to the lowest polymorph listed for this composition = 0.0 meV per atom; crystal system = tetragonal
1.0
-3.990 3.990 3.224
3.990 -3.990 3.224
3.990 3.990 -3.224
As I Cl
4 2 2
Direct
0.119 0.125 0.494
0.375 0.881 0.006
0.631 0.625 0.506
0.875 0.369 0.994
0.250 0.750 0.500
0.500 0.500 0.000
0.000 0.000 0.000
0.750 0.250 0.500

=====

[7]
GGA-PBE Nd4HoNi4, optimized geometry; total DFT energy (no corrections) = -96.9 eV/cell; formation energy from the elements = -0.189 eV per atom; crystal system = tetragonal
1.0
8.537 0.000 0.000
0.000 8.537 0.000
0.000 0.000 5.944
Nd Ho Ni
8 2 8
Direct
0.055 0.666 0.148
0.166 0.945 0.648
0.334 0.555 0.648
0.445 0.834 0.148
0.555 0.166 0.852
0.666 0.445 0.352
0.834 0.055 0.352
0.945 0.334 0.852
0.250 0.250 0.250
0.750 0.750 0.750
0.020 0.621 0.626
0.121 0.980 0.126
0.379 0.520 0.126
0.480 0.879 0.626
0.520 0.121 0.374
0.621 0.480 0.874
0.879 0.020 0.874
0.980 0.379 0.374

=====

[8]
GGA-PBE NiW2Se, optimized geometry; total DFT energy (no corrections) = -33.1 eV/cell; raw formation energy = 512 meV/atom; crystal system = monoclinic
1.0
2.876 0.000 0.000
0.000 4.054 0.000
-1.329 0.000 5.178
Ni W Se
1 2 1
Direct
0.000 0.000 0.000
0.289 0.500 0.757
0.711 0.500 0.243
0.500 0.000 0.500

=====

[9]
GGA-PBE Ca2In2Te, optimized geometry; total DFT energy (no corrections) = -15.9 eV/cell; raw formation energy = -648 meV/atom; energy relative to the lowest polymorph listed for this composition = 0.0 meV per atom; crystal system = tetragonal
1.0
-2.069 2.069 9.042
2.069 -2.069 9.042
2.069 2.069 -9.042
Ca In Te
2 2 1
Direct
0.099 0.099 0.000
0.901 0.901 0.000
0.250 0.750 0.500
0.750 0.250 0.500
0.500 0.500 0.000

=====

[10]
GGA-PBE NdHo4Er5, optimized geometry; total DFT energy (no corrections) = -45.3 eV/cell; formation energy from the elements = 0.062 eV per atom; energy relative to the lowest polymorph listed for this composition = 0.0 meV per atom; crystal system = triclinic
1.0
3.536 0.000 0.000
-1.592 6.433 0.000
-0.801 -2.359 13.824
Nd Ho Er
1 4 5
Direct
0.000 0.000 0.000
0.112 0.808 0.218
0.197 0.729 0.804
0.803 0.271 0.196
0.888 0.192 0.782
0.206 0.881 0.584
0.492 0.427 0.613
0.500 0.500 0.000
0.508 0.573 0.387
0.794 0.119 0.416

=====

[11]
GGA-PBE LaTeP2Cl, optimized geometry; total DFT energy (no corrections) = -19.9 eV/cell; raw formation energy = 172 meV/atom; energy relative to the lowest polymorph listed for this composition = 268.2 meV per atom; crystal system = tetragonal
1.0
5.670 0.000 0.000
0.000 5.670 0.000
0.000 0.000 5.262
La Te P Cl
1 1 2 1
Direct
0.000 0.000 0.000
0.500 0.500 0.500
0.000 0.500 0.000
0.500 0.000 0.000
0.000 0.000 0.500

=====

[12]
GGA-PBE Pr4SnRu2, optimized geometry; total DFT energy (no corrections) = -84.9 eV/cell; formation energy from the elements = -0.111 eV per atom; crystal system = orthorhombic
1.0
0.000 6.627 6.889
4.670 0.000 6.889
4.670 6.627 0.000
Pr Sn Ru
8 2 4
Direct
0.137 0.286 0.302
0.224 0.698 0.714
0.286 0.137 0.776
0.302 0.776 0.137
0.698 0.224 0.863
0.714 0.863 0.224
0.776 0.302 0.286
0.863 0.714 0.698
0.375 0.375 0.375
0.625 0.625 0.625
0.000 0.000 0.000
0.000 0.000 0.500
0.000 0.500 0.000
0.500 0.000 0.000

=====

Number 1: DOS at the Fermi energy 7.96 states/eV/cell. Number 2: DOS at the Fermi energy 8.85 states/eV/cell. Number 3: DOS at the Fermi energy 8.19 states/eV/cell. Number 4: DOS at the Fermi energy 3.16 states/eV/cell. Number 5: DOS at the Fermi energy 9.53 states/eV/cell. Number 6: DOS at the Fermi energy 6.32 states/eV/cell. Number 7: DOS at the Fermi energy 15.66 states/eV/cell. Number 8: DOS at the Fermi energy 2.79 states/eV/cell. Number 9: DOS at the Fermi energy 3.26 states/eV/cell. Number 10: DOS at the Fermi energy 16.19 states/eV/cell. Number 11: DOS at the Fermi energy 4.79 states/eV/cell. Number 12: DOS at the Fermi energy 6.36 states/eV/cell.